The following is a GGA-PBE calculation of a relaxed NaMgHSe crystal, from the Alexandria database.

Computed properties:
Total DFT energy (no corrections) in eV/cell: -25.7

Cell: 4.1085 4.1085 11.7342 Å, 79.92 79.92 60.00°
With the nearest neighbours (Å) after each atom.
Sites, in units of the cell vectors:
Na1 0.0000 0.0000 0.0000  6 Se 3.07
Na2 0.5000 0.5000 0.5000  6 H 2.55
Mg1 0.7530 0.7530 0.7410  1 H 1.82
Mg2 0.2470 0.2470 0.2590  1 H 1.82
H1 0.1941 0.1941 0.4176  1 Mg 1.82
H2 0.8059 0.8059 0.5824  1 Mg 1.82
Se1 0.6103 0.6103 0.1691  3 Mg 2.59
Se2 0.3897 0.3897 0.8309  3 Mg 2.59